## Hg2Te (PBE)

Data for an optimized crystal structure of Hg2Te.

Properties
E: -22.97 eV per cell

a b c (Å): 13.5082 13.5082 13.5082
angles (deg): 90.00 90.00 90.00
Space group Fd-3m (No. 227, origin choice 2)
One atom of each set of equivalent atoms:
1 Hg 0.0000 0.0000 0.0000
2 Te 0.1250 0.1250 0.1250